[1]
Compound: Ac6OsPdPt2
Source: Alexandria via LeMat-Bulk
Functional: PBE
Structure: relaxed

Values from the calculation:
**Uncorrected energy**: -59.520 eV/cell
**M_tot**: 0.00 μB/atom
**D(E_F)**: 6.87 states/eV/f.u.
**Calculated density**: 9.6 g/cm3
**ΔH_f (0 K)**: -0.637 eV per atom

Cell and atoms, written as POSCAR:
```
Ac6OsPdPt2
1.0
-7.213 0.941 2.196
-2.387 -3.007 6.554
-1.399 5.235 6.295
Ac Pd Os Pt
6 1 1 2
direct
0.101 0.413 0.759 Ac
0.242 0.928 0.245 Ac
0.413 0.728 0.759 Ac
0.727 0.102 0.759 Ac
0.585 0.242 0.245 Ac
0.928 0.584 0.245 Ac
0.828 0.828 0.517 Pd
0.327 0.327 0.019 Os
0.004 0.004 0.988 Pt
0.507 0.507 0.478 Pt
```

=====

[2]
Compound: SrLaTc2
Source: Alexandria via LeMat-Bulk
Functional: PBE
Structure: relaxed

Values from the calculation:
**Uncorrected energy**: -24.972 eV/cell
**M_tot**: 0.00 μB/atom
**D(E_F)**: 3.14 states/eV/f.u.
**Distance to the lowest polymorph of the same formula**: 289 meV/atom
**Calculated density**: 6.3 g/cm3
**ΔH_f (0 K)**: 0.592 eV per atom

Cell and atoms, written as POSCAR:
```
SrLaTc2
1.0
4.012 0.000 0.000
0.000 4.013 0.000
0.000 0.000 6.972
Tc Sr La
2 1 1
direct
0.000 0.000 0.089 Tc
0.000 0.000 0.411 Tc
0.500 0.500 0.750 Sr
0.500 0.500 0.250 La
```

=====

Q: The highest calculated density belongs to which entry?
A: Ac6OsPdPt2

=====

Q: D(E_F) of number 1 (Ac6OsPdPt2)?
A: 6.87 states/eV/f.u.

=====

Q: Which value of D(E_F) does entry 1 give?
A: 6.87 states/eV/f.u.

=====

Q: The lowest calculated density belongs to which entry?
A: SrLaTc2